Computed, not measured: a geometry-optimized LiCuBi2Pt structure at the PBE-GGA level of DFT.

## Properties
Crystal system = tetragonal
Formation enthalpy at 0 K = 0.47 eV per atom
Size of the total moment = 0.000 μB per atom

abc: 4.957 4.957 4.243
angles: 90.00 90.00 90.00
Space group P4/mmm (No. 123)
Asymmetric unit:
Li 0.000 0.000 0.000
Cu 0.000 0.000 0.500
Bi 0.000 0.500 0.000
Pt 0.500 0.500 0.500